Record 1
# HoMgCuRh

A relaxed HoMgCuRh crystal (PBE, Alexandria via LeMat-Bulk).

```
HoMgCuRh
1.0
6.618 0.000 0.000
0.000 6.618 0.000
0.000 0.000 6.618
Ho Mg Cu Rh
4 4 4 4
Cartesian
0.000 0.000 0.000
0.000 3.309 3.309
3.309 0.000 3.309
3.309 3.309 0.000
0.000 0.000 3.309
0.000 3.309 0.000
3.309 0.000 0.000
3.309 3.309 3.309
1.654 1.654 4.963
1.654 4.963 1.654
4.963 1.654 1.654
4.963 4.963 4.963
1.654 1.654 1.654
1.654 4.963 4.963
4.963 1.654 4.963
4.963 4.963 1.654
```

Computed properties:
Electronic total energy (Ha/atom): -0.178
Fermi-level density of states (states/eV/f.u.): 2.7
Energy relative to the elements (eV per atom): -0.4500
Space-group type: F-43m

Record 2
# Cs2TlPtCl6

A relaxed Cs2TlPtCl6 crystal (PBE, Alexandria via LeMat-Bulk).

```
Cs2TlPtCl6
1.0
-3.817 3.817 5.558
3.817 -3.817 5.558
3.817 3.817 -5.558
Cs Tl Pt Cl
2 1 1 6
Cartesian
3.817 0.000 2.779
0.000 3.817 2.779
0.000 0.000 0.000
0.000 0.000 5.558
0.000 0.000 2.890
2.149 2.149 0.000
1.668 -1.668 5.558
-1.668 1.668 5.558
1.668 1.668 5.558
0.000 0.000 8.225
```

Computed properties:
Electronic total energy (Ha/atom): -0.121
Fermi-level density of states (states/eV/f.u.): 4.1
Formation energy (no corrections) (eV/atom): -1.19
Space-group type: I4/mmm

Record 3
# Cu3Mo

A relaxed Cu3Mo crystal (PBE, Alexandria via LeMat-Bulk).

```
Cu3Mo
1.0
2.536 0.000 0.000
0.000 8.976 0.000
0.000 0.000 4.658
Cu Mo
6 2
Cartesian
0.000 0.000 0.000
0.000 2.314 1.665
0.000 6.662 1.665
1.268 2.174 3.994
1.268 4.488 2.329
1.268 6.802 3.994
0.000 4.488 4.634
1.268 0.000 2.305
```

Computed properties:
Electronic total energy (Ha/atom): -0.201
Fermi-level density of states (states/eV/f.u.): 4.6
Energy relative to the elements (eV per atom): 0.3078
Space-group type: Imm2